Crystalline Er3Th2Sc at its relaxed geometry, computed with PBE-GGA.

Unit cell a=11.643 b=11.643 c=9.871 alpha=72.03 beta=72.03 gamma=16.91
Sites, in units of the cell vectors:
Sc 0.311 0.311 0.038
Sc 0.689 0.689 0.962
Er 0.930 0.930 0.779
Er 0.441 0.441 0.444
Er 0.303 0.303 0.720
Er 0.559 0.559 0.556
Er 0.070 0.070 0.221
Er 0.697 0.697 0.280
Th 0.075 0.075 0.867
Th 0.690 0.690 0.628
Th 0.925 0.925 0.133
Th 0.310 0.310 0.372

Results
As for the energy relative to the elements: 3.43 kcal/mol of atoms.